A relaxed Sc2TaGaNi crystal, computed with PBE.

Results
The value obtained for the density is 6.29 g/cm3. Its density of states at the Fermi level is 6.05 states/eV/cell. The calculated formation energy comes out at 0.19 eV/atom.

abc: 4.765 4.642 4.765
angles: 90.00 90.00 90.00
Sites, in units of the cell vectors:
Sc: 0.500 0.000 0.000
Sc: 0.000 0.000 0.500
Ni: 0.000 0.000 0.000
Ga: 0.500 0.500 0.500
Ta: 0.000 0.500 0.000

=====

A relaxed RbMg2SbBr8 crystal, computed with PBE.

Results
The value obtained for the density is 3.30 g/cm3. The calculation puts the uncorrected formation energy at -1.167 eV per atom. Its density of states at the Fermi level is 0.00 states/eV/cell.

abc: 6.951 6.951 11.481
angles: 72.38 72.38 60.00
Sites, in units of the cell vectors:
Br: 0.819 0.819 0.544
Br: 0.071 0.372 0.845
Br: 0.288 0.929 0.155
Br: 0.712 0.071 0.845
Br: 0.372 0.712 0.845
Br: 0.628 0.288 0.155
Br: 0.181 0.181 0.456
Br: 0.929 0.628 0.155
Mg: 0.743 0.743 0.771
Mg: 0.257 0.257 0.229
Rb: 0.500 0.500 0.500
Sb: 0.000 0.000 0.000

=====

A relaxed Cs2ZnRuS crystal, computed with PBE.

Results
The value obtained for the density is 3.49 g/cm3. The calculation puts the uncorrected formation energy at 0.605 eV per atom. Its density of states at the Fermi level is 4.01 states/eV/cell.

abc: 6.935 4.590 6.935
angles: 90.00 90.00 90.00
Site moments in Bohr magnetons follow the coordinates.
Sites, in units of the cell vectors:
S: 0.000 0.000 0.000  0.00
Cs: 0.500 0.000 0.000  0.00
Cs: 0.000 0.000 0.500  0.00
Ru: 0.500 0.500 0.500  2.50
Zn: 0.000 0.500 0.000  0.00

=====

A relaxed Ce2InGaAu6 crystal, computed with PBE.

Results
The value obtained for the density is 11.95 g/cm3. Its density of states at the Fermi level is 16.61 states/eV/cell. The calculated formation energy comes out at -0.39 eV/atom.

abc: 7.014 6.781 5.510
angles: 70.28 68.26 80.03
Site moments in Bohr magnetons follow the coordinates.
Sites, in units of the cell vectors:
Ga: 0.000 0.000 0.000  0.00
Au: 0.168 0.331 0.981  0.00
Au: 0.792 0.743 0.507  0.00
Au: 0.403 0.930 0.850  0.01
Au: 0.597 0.070 0.150  0.01
Au: 0.208 0.257 0.493  0.00
Au: 0.832 0.669 0.019  0.00
Ce: 0.236 0.754 0.498  0.89
Ce: 0.764 0.246 0.502  0.89
In: 0.500 0.500 0.000  0.00

=====

A relaxed NaPr3Rh8 crystal, computed with PBE.

Results
The value obtained for the density is 9.44 g/cm3. Its density of states at the Fermi level is 10.37 states/eV/cell. The calculated formation energy comes out at -0.47 eV/atom.

abc: 5.392 5.392 9.392
angles: 73.32 73.32 60.00
Sites, in units of the cell vectors:
Rh: 0.437 0.938 0.687
Rh: 0.437 0.437 0.187
Rh: 0.938 0.938 0.687
Rh: 0.688 0.688 0.937
Rh: 0.437 0.940 0.187
Rh: 0.940 0.437 0.187
Rh: 0.188 0.188 0.437
Rh: 0.938 0.437 0.687
Pr: 0.994 0.994 0.018
Pr: 0.505 0.505 0.484
Pr: 0.376 0.376 0.871
Na: 0.873 0.873 0.381

=====

A relaxed TbPuHgRu crystal, computed with PBE.

Results
The value obtained for the density is 12.79 g/cm3. The calculation puts the excess energy over the best structure of this formula in the dataset at 0 meV per atom. Its density of states at the Fermi level is 8.47 states/eV/cell. The calculated formation energy comes out at -0.28 eV/atom.

abc: 3.361 3.361 8.099
angles: 90.00 90.00 90.00
Site moments in Bohr magnetons follow the coordinates.
Sites, in units of the cell vectors:
Tb: 0.500 0.500 0.787  0.12
Ru: 0.000 0.000 0.571  -0.33
Hg: 0.000 0.000 0.067  0.01
Pu: 0.500 0.500 0.360  5.22

=====

A relaxed Cs3TbBi2 crystal, computed with PBE.

Results
The value obtained for the density is 4.94 g/cm3. Its density of states at the Fermi level is 1.31 states/eV/cell. The calculated formation energy comes out at -0.41 eV/atom.

abc: 5.556 11.122 11.434
angles: 106.02 90.00 104.46
Sites, in units of the cell vectors:
Cs: 0.684 0.367 0.055
Cs: 0.798 0.596 0.426
Cs: 0.061 0.122 0.180
Cs: 0.202 0.404 0.574
Cs: 0.316 0.633 0.945
Cs: 0.939 0.878 0.820
Tb: 0.561 0.121 0.667
Tb: 0.439 0.879 0.333
Bi: 0.115 0.229 0.818
Bi: 0.885 0.771 0.182
Bi: 0.410 0.819 0.585
Bi: 0.590 0.181 0.415